Here is a relaxed BaAcZn10 crystal from Alexandria via LeMat-Bulk. Energies are from PBE-GGA.

E_form	-0.211	eV/atom
space-group type	Pmmm, No. 47

a b c (Å): 4.324 5.668 9.776
angles (deg): 90.00 90.00 90.00
Atoms (fractional coordinates):
Ba: 0.000 0.500 0.500
Ac: 0.000 0.000 0.000
Zn: 0.000 0.000 0.334
Zn: 0.000 0.500 0.833
Zn: 0.000 0.500 0.167
Zn: 0.000 0.000 0.666
Zn: 0.500 0.000 0.500
Zn: 0.500 0.500 0.000
Zn: 0.500 0.244 0.242
Zn: 0.500 0.756 0.758
Zn: 0.500 0.756 0.242
Zn: 0.500 0.244 0.758

Here is a relaxed SrLiLa2Pt crystal from Alexandria via LeMat-Bulk. Energies are from PBE-GGA.

E_form	0.094	eV/atom
space-group type	P4/mmm, No. 123
energy above the lowest structure with this stoichiometry	0.4330	eV/atom

a b c (Å): 5.704 4.537 5.704
angles (deg): 90.00 90.00 90.00
Atoms (fractional coordinates):
Sr: 0.500 0.500 0.500
Li: 0.000 0.000 0.000
Pt: 0.000 0.500 0.000
La: 0.000 0.000 0.500
La: 0.500 0.000 0.000

Here is a relaxed Bi2MoPbBr crystal from Alexandria via LeMat-Bulk. Energies are from PBE-GGA.

space-group type	P4/mmm, No. 123
uncorrected formation energy	0.186	eV per atom

a b c (Å): 5.350 5.507 5.350
angles (deg): 90.00 90.00 90.00
Atoms (fractional coordinates):
Pb: 0.000 0.500 0.000
Mo: 0.000 0.000 0.000
Bi: 0.000 0.000 0.500
Bi: 0.500 0.000 0.000
Br: 0.500 0.500 0.500

Number 1: total magnetization 0.0 μB/f.u.. Number 2: total magnetization 0.0 μB/f.u.. Number 3: total magnetization 0.0 μB/f.u..